Entry 1:
LiRh4 | PBEsol | relaxed

Summary:
D(E_F) in states/eV/f.u.: 5.059
Calculated volume in Å³ per cell: 65
Energy of formation from the pure elements in eV/atom: -0.0098
Raw total energy in eV per atom: -6.914
M_tot in μB/atom: 0.000

abc: 3.726 4.583 4.583
angles: 80.49 66.01 66.01
Fractional positions:
Rh 0.602 0.199 0.596
Rh 0.398 0.801 0.404
Rh 0.802 0.596 0.801
Rh 0.198 0.404 0.199
Li 0.000 0.000 0.000

***

Entry 2:
Li5Rh | PBEsol | relaxed

Summary:
D(E_F) in states/eV/f.u.: 3.353
Calculated volume in Å³ per cell: 93
Energy of formation from the pure elements in eV/atom: -0.0078
Raw total energy in eV per atom: -3.003
M_tot in μB/atom: 0.054
Energy relative to the lowest polymorph listed for this composition in meV per atom: 4

abc: 2.638 4.519 7.881
angles: 90.00 99.64 90.00
Site moments in Bohr magnetons follow the coordinates.
Fractional positions:
Li 0.752 0.500 0.503  0.00
Li 0.661 0.000 0.323  0.00
Li 0.342 0.000 0.683  0.00
Li 0.455 0.500 0.909  0.00
Li 0.019 0.000 0.039  0.00
Rh 0.105 0.500 0.209  0.32

***

Entry 3:
LiRh | PBEsol | relaxed

Summary:
D(E_F) in states/eV/f.u.: 1.480
Calculated volume in Å³ per cell: 52
Energy of formation from the pure elements in eV/atom: -0.1275
Raw total energy in eV per atom: -5.180
M_tot in μB/atom: 0.000

abc: 2.648 4.343 4.532
angles: 90.00 89.99 90.00
Fractional positions:
Rh 0.750 0.250 0.940
Rh 0.250 0.750 0.060
Li 0.250 0.250 0.432
Li 0.750 0.750 0.568

***

Entry 4:
Li5Rh | PBEsol | relaxed

Summary:
D(E_F) in states/eV/f.u.: 3.134
Calculated volume in Å³ per cell: 92
Energy of formation from the pure elements in eV/atom: -0.0122
Raw total energy in eV per atom: -3.008
M_tot in μB/atom: 0.038
Energy relative to the lowest polymorph listed for this composition in meV per atom: 0

abc: 2.654 5.390 6.891
angles: 105.37 90.00 104.25
Site moments in Bohr magnetons follow the coordinates.
Fractional positions:
Li 0.004 0.009 0.984  0.00
Li 0.063 0.126 0.637  0.00
Li 0.313 0.625 0.692  0.00
Li 0.673 0.346 0.306  0.00
Li 0.389 0.777 0.258  0.00
Rh 0.725 0.449 0.957  0.26

***

Entry 5:
LiRh | PBEsol | relaxed

Summary:
D(E_F) in states/eV/f.u.: 1.838
Calculated volume in Å³ per cell: 26
Energy of formation from the pure elements in eV/atom: -0.1299
Raw total energy in eV per atom: -5.182
M_tot in μB/atom: 0.001

abc: 2.624 2.624 4.320
angles: 90.00 90.00 120.00
Fractional positions:
Li 0.333 0.667 0.500
Rh 0.000 0.000 0.000

***

Entry 6:
Li2Rh | PBEsol | relaxed

Summary:
D(E_F) in states/eV/f.u.: 1.698
Calculated volume in Å³ per cell: 82
Energy of formation from the pure elements in eV/atom: -0.0413
Raw total energy in eV per atom: -4.065
M_tot in μB/atom: 0.001

abc: 4.416 4.762 4.426
angles: 90.00 90.00 117.63
Fractional positions:
Li 0.410 0.819 0.250
Li 0.590 0.181 0.750
Li 0.257 0.514 0.750
Li 0.743 0.486 0.250
Rh 0.058 0.117 0.250
Rh 0.942 0.883 0.750